Entry from Alexandria via LeMat-Bulk: a relaxed structure of Rb2VBrCl6 (GGA-PBE).

Polymorph energy (0 for the lowest one) in meV/atom: 84
Energy relative to the elements, uncorrected in eV per formula unit: -12.3

Cell lengths 8.0238, 8.0238, 10.5722 Å; angles 90.00, 90.00, 90.00 degrees
With the nearest neighbours (Å) after each atom.
Space group I4/mmm (No. 139)
One atom of each set of equivalent atoms:
Rb 0.0000 0.5000 0.2500 (multiplicity 4)  12 Cl 3.91-4.03
V 0.0000 0.0000 0.0000 (multiplicity 2)  6 Cl 2.31
Br 0.0000 0.0000 0.5000 (multiplicity 2)  2 Cl 2.98
Cl 0.0000 0.0000 0.2181 (multiplicity 4)  1 V 2.31
Cl 0.2036 0.2036 0.0000 (multiplicity 8)  1 V 2.31



Entry from Alexandria via LeMat-Bulk: a relaxed structure of AcPr3Cd8 (GGA-PBE).

Formation energy in kJ/mol of formula units: -344.9

Cell lengths 6.1708, 6.1708, 9.6275 Å; angles 90.00, 90.00, 120.00 degrees
With the nearest neighbours (Å) after each atom.
Space group P3m1 (No. 156)
One atom of each set of equivalent atoms:
Ac 0.0000 0.0000 0.0000 (multiplicity 1)  12 Cd 3.51-3.61, 4 Pr 3.74-3.78
Pr 0.0000 0.0000 0.3881 (multiplicity 1)  12 Cd 3.36-3.63, 3 Pr 3.70, 1 Ac 3.74
Pr 0.6667 0.3333 0.4924 (multiplicity 1)  12 Cd 3.39-3.60, 4 Pr 3.63-3.70
Pr 0.6667 0.3333 0.8693 (multiplicity 1)  12 Cd 3.54-3.62, 1 Pr 3.63, 3 Ac 3.78
Cd 0.1649 0.3298 0.6853 (multiplicity 3)  6 Cd 3.00-3.12, 1 Pr 3.36
Cd 0.3333 0.6667 0.4356 (multiplicity 1)  6 Cd 2.99-3.00
Cd 0.3333 0.6667 0.9373 (multiplicity 1)  6 Cd 3.02-3.04
Cd 0.5042 0.0084 0.1899 (multiplicity 3)  6 Cd 2.99-3.16



Entry from Alexandria via LeMat-Bulk: a relaxed structure of Ac5In2 (GGA-PBE).

Formation energy in kJ/mol of formula units: -134.7

Cell lengths 17.9052, 6.9159, 9.3514 Å; angles 90.00, 98.17, 90.00 degrees
With the nearest neighbours (Å) after each atom.
Space group C2/c (No. 15)
One atom of each set of equivalent atoms:
Ac 0.0000 0.1355 0.2500 (multiplicity 4)  4 In 3.39-3.40
Ac 0.0981 0.3608 0.9273 (multiplicity 8)  3 In 3.44-3.77
Ac 0.2180 0.1200 0.3141 (multiplicity 8)  3 In 3.48-3.52, 3 Ac 3.87-3.89
In 0.1021 0.1847 0.5840 (multiplicity 8)  8 Ac 3.39-3.77



Entry from Alexandria via LeMat-Bulk: a relaxed structure of SrHg2I (GGA-PBE).

Polymorph energy (0 for the lowest one) in meV/atom: 423
Energy relative to the elements, uncorrected in eV per formula unit: -0.7

Cell lengths 4.4734, 4.4734, 31.9129 Å; angles 90.00, 90.00, 120.00 degrees
With the nearest neighbours (Å) after each atom.
Space group R-3m (No. 166, hexagonal axes)
One atom of each set of equivalent atoms:
Sr 0.0000 0.0000 0.0000 (multiplicity 3)  2 Hg 3.19
Hg 0.0000 0.0000 0.1000 (multiplicity 6)  1 Sr 3.19, 3 I 3.35
I 0.0000 0.0000 0.5000 (multiplicity 3)  6 Hg 3.35



Entry from Alexandria via LeMat-Bulk: a relaxed structure of Re2SiNiP (GGA-PBE).

Energy relative to the elements, uncorrected in eV per formula unit: 4.0

Cell lengths 4.4436, 4.4436, 3.9572 Å; angles 90.00, 90.00, 90.00 degrees
With the nearest neighbours (Å) after each atom.
Space group P4/mmm (No. 123)
One atom of each set of equivalent atoms:
Re 0.0000 0.5000 0.0000 (multiplicity 2)  2 P 2.22
Si 0.0000 0.0000 0.5000 (multiplicity 1)  8 Re 2.98, 4 Ni 3.14
Ni 0.5000 0.5000 0.5000 (multiplicity 1)  2 P 1.98
P 0.5000 0.5000 0.0000 (multiplicity 1)  2 Ni 1.98



Entry from Alexandria via LeMat-Bulk: a relaxed structure of InAg4Pb (GGA-PBE).

Formation energy in kJ/mol of formula units: 36.2

Cell lengths 8.0154, 8.0154, 8.0154 Å; angles 90.00, 90.00, 90.00 degrees
With the nearest neighbours (Å) after each atom.
Space group F-43m (No. 216)
One atom of each set of equivalent atoms:
In 0.0000 0.0000 0.0000 (multiplicity 4)  12 Ag 3.32, 4 Pb 3.47
Ag 0.1253 0.1253 0.3747 (multiplicity 16)  6 Ag 2.83-2.84
Pb 0.2500 0.2500 0.7500 (multiplicity 4)  12 Ag 3.32, 4 In 3.47